An optimized crystal structure of BMoN2O. Source: Alexandria, functional PBE+U.

Cell and atoms, written as CIF:
```
data_BMoN2O
_chemical_formula_sum 'B1 Mo1 N2 O1'
_symmetry_space_group_name_H-M 'P 4/m m m'
_symmetry_Int_Tables_number 123
_symmetry_space_group_name_Hall '-P 4 2'
_cell_length_a 3.9746
_cell_length_b 3.9746
_cell_length_c 3.8846
_cell_angle_alpha 90.00
_cell_angle_beta 90.00
_cell_angle_gamma 90.00
loop_
_atom_site_label
_atom_site_type_symbol
_atom_site_fract_x
_atom_site_fract_y
_atom_site_fract_z
B1 B 0.0000 0.0000 0.0000
Mo1 Mo 0.5000 0.5000 0.5000
N1 N 0.0000 0.5000 0.5000
O1 O 0.5000 0.5000 0.0000
```

VASP energy ... -29.38 eV for the cell shown